The following is a DFT calculation (GGA-PBE) of a relaxed Na2AgHg crystal.

Lattice parameters (Å, degrees): 10.286 10.286 10.286 18.72 18.72 18.72
Sites, in units of the cell vectors:
Na1 0.000 0.000 0.000
Na2 0.173 0.173 0.173
Ag1 0.587 0.587 0.587
Hg1 0.420 0.420 0.420

The formation energy from the elements is -26 meV per atom.


The following is a DFT calculation (GGA-PBE) of a relaxed NaAgHgO2 crystal.

Lattice parameters (Å, degrees): 5.975 4.991 6.625 90.00 90.89 90.00
Sites, in units of the cell vectors:
Na1 0.000 0.012 0.250
Na2 0.000 0.988 0.750
Ag1 0.500 0.500 0.000
Ag2 0.500 0.500 0.500
Hg1 0.500 0.003 0.750
Hg2 0.500 0.997 0.250
O1 0.263 0.177 0.999
O2 0.263 0.823 0.499
O3 0.737 0.177 0.501
O4 0.737 0.823 0.001


The following is a DFT calculation (GGA-PBE) of a relaxed Na2AgHgO crystal.

Lattice parameters (Å, degrees): 4.646 4.646 4.580 90.00 90.00 90.00
Sites, in units of the cell vectors:
Na1 0.000 0.500 0.000
Na2 0.500 0.000 0.000
Ag1 0.000 0.000 0.500
Hg1 0.500 0.500 0.500
O1 0.000 0.000 0.000


The following is a DFT calculation (GGA-PBE) of a relaxed Na2AgHgP crystal.

Lattice parameters (Å, degrees): 5.522 5.522 4.721 90.00 90.00 90.00
Sites, in units of the cell vectors:
Na1 0.000 0.500 0.000
Na2 0.500 0.000 0.000
Ag1 0.000 0.000 0.500
Hg1 0.500 0.500 0.500
P1 0.000 0.000 0.000

The formation energy from the elements is -168 meV per atom.


The following is a DFT calculation (GGA-PBE) of a relaxed NaAg2HgP crystal.

Lattice parameters (Å, degrees): 4.802 4.802 5.569 90.00 90.00 90.00
Sites, in units of the cell vectors:
Na1 0.000 0.000 0.000
Ag1 0.000 0.500 0.500
Ag2 0.500 0.000 0.500
Hg1 0.500 0.500 0.000
P1 0.000 0.000 0.500

The formation energy from the elements is -35 meV per atom.


The following is a DFT calculation (GGA-PBE) of a relaxed Na2AgHg5Pd2 crystal.

Lattice parameters (Å, degrees): 10.535 10.535 4.025 90.00 90.00 90.00
Sites, in units of the cell vectors:
Na1 0.171 0.329 0.000
Na2 0.329 0.829 0.000
Na3 0.671 0.171 0.000
Na4 0.829 0.671 0.000
Ag1 0.000 0.000 0.000
Ag2 0.500 0.500 0.000
Hg1 0.000 0.500 0.500
Hg2 0.070 0.803 0.500
Hg3 0.197 0.070 0.500
Hg4 0.303 0.570 0.500
Hg5 0.430 0.303 0.500
Hg6 0.500 0.000 0.500
Hg7 0.570 0.697 0.500
Hg8 0.697 0.430 0.500
Hg9 0.803 0.930 0.500
Hg10 0.930 0.197 0.500
Pd1 0.127 0.627 0.000
Pd2 0.373 0.127 0.000
Pd3 0.627 0.873 0.000
Pd4 0.873 0.373 0.000

The formation energy from the elements is -162 meV per atom.


The following is a DFT calculation (GGA-PBE) of a relaxed Na2Ag2Hg5Pd crystal.

Lattice parameters (Å, degrees): 11.300 11.300 3.664 90.00 90.00 90.00
Sites, in units of the cell vectors:
Na1 0.169 0.331 0.000
Na2 0.331 0.831 0.000
Na3 0.669 0.169 0.000
Na4 0.831 0.669 0.000
Ag1 0.137 0.637 0.000
Ag2 0.363 0.137 0.000
Ag3 0.637 0.863 0.000
Ag4 0.863 0.363 0.000
Hg1 0.000 0.500 0.500
Hg2 0.067 0.818 0.500
Hg3 0.182 0.067 0.500
Hg4 0.318 0.567 0.500
Hg5 0.433 0.318 0.500
Hg6 0.500 0.000 0.500
Hg7 0.567 0.682 0.500
Hg8 0.682 0.433 0.500
Hg9 0.818 0.933 0.500
Hg10 0.933 0.182 0.500
Pd1 0.000 0.000 0.000
Pd2 0.500 0.500 0.000

The formation energy from the elements is -86 meV per atom.


The following is a DFT calculation (GGA-PBE) of a relaxed NaAgHgPd crystal.

Lattice parameters (Å, degrees): 4.866 4.866 5.350 90.25 90.25 58.62
Sites, in units of the cell vectors:
Na1 0.000 0.000 0.000
Ag1 0.855 0.855 0.499
Hg1 0.193 0.193 0.500
Pd1 0.523 0.523 0.500

The formation energy from the elements is -3 meV per atom.


no.,calculated volume (A^3/atom),energy (eV/atom)
1,24.5,-1.47
2,19.8,-3.36
3,19.8,-2.69
4,28.8,-2.41
5,25.7,-2.58
6,22.3,-1.90
7,23.4,-1.59
8,27.0,-2.42